Material: Re2Tc4Ir3
Method: DFT, GGA-PBE
State: optimized geometry

Density   16.9 g cm⁻³
Crystal system   triclinic
Formation energy   -0.08 eV/atom

Cell and atoms, written as CIF:
```
data_Re2Tc4Ir3
_symmetry_space_group_name_H-M 'P -1'
_symmetry_Int_Tables_number 2
_symmetry_space_group_name_Hall '-P 1'
_cell_length_a 5.494
_cell_length_b 6.728
_cell_length_c 7.252
_cell_angle_alpha 89.89
_cell_angle_beta 79.10
_cell_angle_gamma 89.92
loop_
_atom_site_label
_atom_site_fract_x
_atom_site_fract_y
_atom_site_fract_z
Re1 0.032 0.337 0.389
Re2 0.089 0.999 0.166
Tc1 0.307 0.668 0.278
Tc2 0.360 0.329 0.055
Tc3 0.424 0.997 0.833
Tc4 0.478 0.665 0.612
Ir1 0.143 0.672 0.943
Ir2 0.194 0.336 0.720
Ir3 0.249 0.002 0.500
```